# 1
Below is a relaxed GaHCl crystal, with properties calculated at the GGA-PBE level.

Cell and atoms, written as POSCAR:
```
GaHCl
1.0
4.140 0.000 0.000
0.000 4.140 0.000
0.000 0.000 6.541
Ga H Cl
2 2 2
direct
0.000 0.000 0.000 Ga
0.500 0.500 0.500 Ga
0.000 0.000 0.256 H
0.500 0.500 0.756 H
0.000 0.000 0.577 Cl
0.500 0.500 0.077 Cl
```

Results
Symmetry   I4mm, No. 107
Density of states at the Fermi level   0.32 states/eV per atom
Electronic total energy   -2.727 eV per atom
Energy above the most stable polymorph in this dataset   445 meV per atom

---

# 2
Below is a relaxed CsTlS2Cl crystal, with properties calculated at the GGA-PBE level.

Cell and atoms, written as POSCAR:
```
CsTlS2Cl
1.0
5.204 0.000 0.000
0.000 5.204 0.000
0.000 0.000 5.854
Cs Tl S Cl
1 1 2 1
direct
0.000 0.000 0.000 Cs
0.500 0.500 0.500 Tl
0.000 0.500 0.500 S
0.500 0.000 0.500 S
0.500 0.500 0.000 Cl
```

Results
Symmetry   P4/mmm, No. 123
Density of states at the Fermi level   1.04 states/eV per atom
ΔE_f (raw)   -0.44 eV per atom
Electronic total energy   -3.108 eV per atom
Energy above the most stable polymorph in this dataset   0 meV per atom

---

# 3
Below is a relaxed Sr2CdInO5 crystal, with properties calculated at the GGA-PBE level.

Cell and atoms, written as POSCAR:
```
Sr2CdInO5
1.0
1.794 -7.160 0.000
1.794 7.160 0.000
0.000 0.000 10.738
Sr Cd In O
4 2 2 10
direct
0.102 0.898 0.500 Sr
0.135 0.865 0.118 Sr
0.865 0.135 0.618 Sr
0.898 0.102 0.000 Sr
0.227 0.773 0.842 Cd
0.773 0.227 0.342 Cd
0.461 0.539 0.286 In
0.539 0.461 0.786 In
0.062 0.938 0.883 O
0.275 0.725 0.487 O
0.310 0.690 0.215 O
0.385 0.615 0.822 O
0.500 0.500 0.100 O
0.500 0.500 0.600 O
0.615 0.385 0.322 O
0.690 0.310 0.715 O
0.725 0.275 0.987 O
0.938 0.062 0.383 O
```

Results
Symmetry   Cmc2_1, No. 36
Density of states at the Fermi level   0.53 states/eV per atom
ΔE_f (raw)   -1.82 eV per atom
Electronic total energy   -5.349 eV per atom

---

# 4
Below is a relaxed TlSiAs crystal, with properties calculated at the GGA-PBE level.

Cell and atoms, written as POSCAR:
```
TlSiAs
1.0
6.773 0.000 0.000
0.000 6.773 0.000
0.000 0.000 6.773
Tl Si As
4 4 4
direct
0.000 0.000 0.000 Tl
0.000 0.500 0.500 Tl
0.500 0.000 0.500 Tl
0.500 0.500 0.000 Tl
0.250 0.250 0.750 Si
0.250 0.750 0.250 Si
0.750 0.250 0.250 Si
0.750 0.750 0.750 Si
0.250 0.250 0.250 As
0.250 0.750 0.750 As
0.750 0.250 0.750 As
0.750 0.750 0.250 As
```

Results
Symmetry   F-43m, No. 216
Density of states at the Fermi level   0.53 states/eV per atom
ΔE_f (raw)   0.76 eV per atom
Electronic total energy   -3.382 eV per atom
Energy above the most stable polymorph in this dataset   684 meV per atom

---

# 5
Below is a relaxed B2C crystal, with properties calculated at the GGA-PBE level.

Cell and atoms, written as POSCAR:
```
B2C
1.0
6.622 -1.363 0.000
6.622 1.363 0.000
-1.670 0.000 4.437
B C
8 4
direct
0.000 0.000 0.000 B
0.172 0.172 0.846 B
0.364 0.364 0.361 B
0.436 0.436 0.105 B
0.501 0.501 0.515 B
0.794 0.794 0.466 B
0.858 0.858 0.874 B
0.923 0.923 0.597 B
0.127 0.127 0.138 C
0.308 0.308 0.981 C
0.627 0.627 0.621 C
0.667 0.667 0.343 C
```

Results
Symmetry   Cm, No. 8
Density of states at the Fermi level   0.13 states/eV per atom
Calculated formation energy   0.28 eV per atom
Electronic total energy   -7.245 eV per atom
Energy above the most stable polymorph in this dataset   96 meV per atom

---

# 6
Below is a relaxed BeP2ICl crystal, with properties calculated at the GGA-PBE level.

Cell and atoms, written as POSCAR:
```
BeP2ICl
1.0
4.651 0.000 0.000
0.000 4.651 0.000
0.000 0.000 4.320
Be P I Cl
1 2 1 1
direct
0.000 0.000 0.000 Be
0.000 0.500 0.000 P
0.500 0.000 0.000 P
0.500 0.500 0.500 I
0.000 0.000 0.500 Cl
```

Results
Symmetry   P4/mmm, No. 123
Density of states at the Fermi level   0.60 states/eV per atom
ΔE_f (raw)   0.48 eV per atom
Electronic total energy   -3.112 eV per atom
Energy above the most stable polymorph in this dataset   0 meV per atom

---

# 7
Below is a relaxed LiBi3Pb crystal, with properties calculated at the GGA-PBE level.

Cell and atoms, written as POSCAR:
```
LiBi3Pb
1.0
5.993 0.000 0.000
0.000 5.993 0.000
0.000 0.000 5.993
Li Bi Pb
1 3 1
direct
0.000 0.000 0.000 Li
0.000 0.500 0.500 Bi
0.500 0.000 0.500 Bi
0.500 0.500 0.000 Bi
0.500 0.500 0.500 Pb
```

Results
Symmetry   Pm-3m, No. 221
Density of states at the Fermi level   1.05 states/eV per atom
Calculated formation energy   0.64 eV per atom
Electronic total energy   -2.812 eV per atom
Energy above the most stable polymorph in this dataset   454 meV per atom

---

# 8
Below is a relaxed Er2AlGaPt6 crystal, with properties calculated at the GGA-PBE level.

Cell and atoms, written as POSCAR:
```
Er2AlGaPt6
1.0
2.787 1.609 7.651
-2.787 1.609 7.651
0.000 -3.218 7.651
Er Al Ga Pt
2 1 1 6
direct
0.203 0.203 0.203 Er
0.797 0.797 0.797 Er
0.000 0.000 0.000 Al
0.500 0.500 0.500 Ga
0.248 0.750 0.750 Pt
0.250 0.250 0.752 Pt
0.250 0.752 0.250 Pt
0.750 0.248 0.750 Pt
0.750 0.750 0.248 Pt
0.752 0.250 0.250 Pt
```

Results
Symmetry   R-3m, No. 166
Density of states at the Fermi level   0.41 states/eV per atom
Calculated formation energy   -0.88 eV per atom
Electronic total energy   -6.096 eV per atom

---

# 9
Below is a relaxed TlRe2Cl crystal, with properties calculated at the GGA-PBE level.

Cell and atoms, written as POSCAR:
```
TlRe2Cl
1.0
3.097 0.000 0.000
0.000 3.013 0.000
-1.507 0.000 8.843
Tl Re Cl
1 2 1
direct
0.000 0.000 0.000 Tl
0.205 0.000 0.423 Re
0.628 0.500 0.264 Re
0.314 0.500 0.646 Cl
```

Results
Symmetry   Pm, No. 6
Density of states at the Fermi level   0.71 states/eV per atom
ΔE_f (raw)   0.22 eV per atom
Electronic total energy   -7.058 eV per atom
Energy above the most stable polymorph in this dataset   0 meV per atom

---

# 10
Below is a relaxed Pt5W3 crystal, with properties calculated at the GGA-PBE level.

Cell and atoms, written as POSCAR:
```
Pt5W3
1.0
7.872 0.000 0.000
0.000 8.165 0.000
0.000 0.000 3.898
Pt W
10 6
direct
0.000 0.000 0.000 Pt
0.000 0.256 0.500 Pt
0.000 0.744 0.500 Pt
0.250 0.250 0.000 Pt
0.250 0.750 0.000 Pt
0.500 0.244 0.500 Pt
0.500 0.500 0.000 Pt
0.500 0.756 0.500 Pt
0.750 0.250 0.000 Pt
0.750 0.750 0.000 Pt
0.000 0.500 0.000 W
0.244 0.500 0.500 W
0.256 0.000 0.500 W
0.500 0.000 0.000 W
0.744 0.000 0.500 W
0.756 0.500 0.500 W
```

Results
Symmetry   Cmmm, No. 65
Density of states at the Fermi level   1.05 states/eV per atom
Calculated formation energy   -0.15 eV per atom
Electronic total energy   -8.786 eV per atom
Energy above the most stable polymorph in this dataset   0 meV per atom

---

# 11
Below is a relaxed Ca2LaI crystal, with properties calculated at the GGA-PBE level.

Cell and atoms, written as POSCAR:
```
Ca2LaI
1.0
3.820 0.000 0.000
0.000 3.820 0.000
0.000 0.000 10.308
Ca La I
2 1 1
direct
0.000 0.000 0.229 Ca
0.000 0.000 0.771 Ca
0.500 0.500 0.500 La
0.500 0.500 0.000 I
```

Results
Symmetry   P4/mmm, No. 123
Density of states at the Fermi level   1.20 states/eV per atom
ΔE_f (raw)   -0.43 eV per atom
Electronic total energy   -3.055 eV per atom
Energy above the most stable polymorph in this dataset   73 meV per atom

---

# 12
Below is a relaxed Ac2Al4SnPt3 crystal, with properties calculated at the GGA-PBE level.

Cell and atoms, written as POSCAR:
```
Ac2Al4SnPt3
1.0
4.493 0.000 0.000
0.000 4.493 0.000
0.000 0.000 10.671
Ac Al Sn Pt
2 4 1 3
direct
0.000 0.500 0.244 Ac
0.500 0.000 0.756 Ac
0.000 0.000 0.000 Al
0.000 0.500 0.644 Al
0.500 0.000 0.356 Al
0.500 0.500 0.000 Al
0.000 0.000 0.500 Sn
0.000 0.500 0.879 Pt
0.500 0.000 0.121 Pt
0.500 0.500 0.500 Pt
```

Results
Symmetry   P-4m2, No. 115
Density of states at the Fermi level   0.84 states/eV per atom
Calculated formation energy   -0.93 eV per atom
Electronic total energy   -5.460 eV per atom

---

# 13
Below is a relaxed Y7CI12 crystal, with properties calculated at the GGA-PBE level.

Cell and atoms, written as POSCAR:
```
Y7CI12
1.0
7.770 4.486 3.443
-7.770 4.486 3.443
0.000 -8.973 3.443
Y C I
7 1 12
direct
0.000 0.000 0.000 Y
0.214 0.403 0.468 Y
0.403 0.468 0.214 Y
0.468 0.214 0.403 Y
0.532 0.786 0.597 Y
0.597 0.532 0.786 Y
0.786 0.597 0.532 Y
0.500 0.500 0.500 C
0.033 0.349 0.113 I
0.113 0.033 0.349 I
0.190 0.726 0.578 I
0.274 0.422 0.810 I
0.349 0.113 0.033 I
0.422 0.810 0.274 I
0.578 0.190 0.726 I
0.651 0.887 0.967 I
0.726 0.578 0.190 I
0.810 0.274 0.422 I
0.887 0.967 0.651 I
0.967 0.651 0.887 I
```

Results
Symmetry   R-3, No. 148
Density of states at the Fermi level   0.52 states/eV per atom
ΔE_f (raw)   -1.22 eV per atom
Electronic total energy   -4.870 eV per atom

---

# 14
Below is a relaxed Co3SnRu crystal, with properties calculated at the GGA-PBE level.

Cell and atoms, written as POSCAR:
```
Co3SnRu
1.0
4.504 0.000 0.000
0.000 4.504 0.000
0.000 0.000 4.504
Co Sn Ru
3 1 1
direct
0.000 0.000 0.500 Co
0.000 0.500 0.000 Co
0.500 0.000 0.000 Co
0.500 0.500 0.500 Sn
0.000 0.000 0.000 Ru
```

Results
Symmetry   Pm-3m, No. 221
Density of states at the Fermi level   1.39 states/eV per atom
Calculated formation energy   1.21 eV per atom
Electronic total energy   -5.708 eV per atom
Energy above the most stable polymorph in this dataset   0 meV per atom

---

# 15
Below is a relaxed Ti2ZnF2 crystal, with properties calculated at the GGA-PBE level.

Cell and atoms, written as POSCAR:
```
Ti2ZnF2
1.0
3.251 0.000 0.000
0.000 3.251 0.000
0.000 0.000 12.055
Ti Zn F
4 2 4
direct
0.000 0.000 0.128 Ti
0.000 0.000 0.872 Ti
0.500 0.500 0.372 Ti
0.500 0.500 0.628 Ti
0.000 0.000 0.500 Zn
0.500 0.500 0.000 Zn
0.000 0.500 0.250 F
0.000 0.500 0.750 F
0.500 0.000 0.250 F
0.500 0.000 0.750 F
```

Results
Symmetry   I4/mmm, No. 139
Density of states at the Fermi level   0.09 states/eV per atom
ΔE_f (raw)   -1.58 eV per atom
Electronic total energy   -5.739 eV per atom
Energy above the most stable polymorph in this dataset   0 meV per atom

---

# 16
Below is a relaxed ZrBe2Cl crystal, with properties calculated at the GGA-PBE level.

Cell and atoms, written as POSCAR:
```
ZrBe2Cl
1.0
2.954 0.000 0.000
0.000 2.954 0.000
0.000 0.000 8.621
Zr Be Cl
1 2 1
direct
0.000 0.000 0.000 Zr
0.000 0.000 0.322 Be
0.500 0.500 0.222 Be
0.500 0.500 0.796 Cl
```

Results
Symmetry   P4mm, No. 99
Density of states at the Fermi level   0.56 states/eV per atom
ΔE_f (raw)   -0.13 eV per atom
Electronic total energy   -4.596 eV per atom
Energy above the most stable polymorph in this dataset   138 meV per atom